Entry 1:
Computed, not measured: NpHgH8Rh4 after structural relaxation at the GGA-PBE level of DFT.

Lattice parameters (Å, degrees): 5.5420 5.5420 15.6672 90.00 90.00 120.00
Space group R3m (No. 160, hexagonal axes)
Asymmetric unit:
Np (0.0000, 0.0000, 0.0000)
Hg (0.0000, 0.0000, 0.3492)
H (0.0000, 0.0000, 0.2124)
H (0.0000, 0.0000, 0.7579)
H (0.0029, 0.5015, 0.7870)
H (0.0365, 0.5182, 0.2274)
Rh (0.0000, 0.0000, 0.6382)
Rh (0.0073, 0.5036, 0.4985)

D(E_F)   0.92 states/eV/atom
Electronic total energy   -4.949 eV/atom
Size of the total moment   11.5 μB/cell

---

Entry 2:
Computed, not measured: HgHO3 after structural relaxation at the GGA-PBE level of DFT.

Lattice parameters (Å, degrees): 3.559 3.559 3.559 90.00 90.00 90.00
Space group Pm-3m (No. 221)
Asymmetric unit:
Hg (0.000, 0.000, 0.000)
H (0.500, 0.500, 0.500)
O (0.000, 0.500, 0.500)

D(E_F)   0.49 states/eV/atom
Electronic total energy   -2.850 eV/atom
Size of the total moment   3.0 μB/cell

---

Entry 3:
Computed, not measured: Hg2H2O3 after structural relaxation at the GGA-PBE level of DFT.

Lattice parameters (Å, degrees): 10.987 3.479 4.820 90.00 104.34 90.00
Space group C2/m (No. 12)
Asymmetric unit:
Hg (0.106, 0.000, 0.306)
H (0.117, 0.500, 0.781)
O (0.000, 0.500, 0.000)
O (0.167, 0.500, 0.633)

D(E_F)   0.14 states/eV/atom
Electronic total energy   -3.664 eV/atom
Size of the total moment   0.0 μB/cell